(a)
The following is a DFT calculation (PBE-GGA) of a geometry-optimized FeAs2Au structure.

a b c (Å): 4.4095 4.4095 3.4524
angles (deg): 90.00 90.00 90.00
Last column: nearest neighbours and their distance in Å.
Space group P4/mmm (No. 123)
One atom of each set of equivalent atoms:
Fe (0.0000, 0.0000, 0.0000) (multiplicity 1)  8 As 2.80, 4 Au 3.12
As (0.0000, 0.5000, 0.5000) (multiplicity 2)  4 Fe 2.80, 4 Au 2.80, 4 As 3.12
Au (0.5000, 0.5000, 0.0000) (multiplicity 1)  8 As 2.80, 4 Fe 3.12

Calculated values
Spin magnetization: 2.41 μB per formula unit



(b)
The following is a DFT calculation (PBE-GGA) of a geometry-optimized FeAs2Au structure.

a b c (Å): 4.2476 4.2476 7.4546
angles (deg): 90.00 90.00 90.00
Last column: nearest neighbours and their distance in Å.
Space group I4/mmm (No. 139)
One atom of each set of equivalent atoms:
Fe (0.0000, 0.0000, 0.0000) (multiplicity 2)  8 As 2.83, 4 Au 3.00
As (0.0000, 0.5000, 0.2500) (multiplicity 4)  4 Fe 2.83, 4 Au 2.83, 4 As 3.00
Au (0.0000, 0.0000, 0.5000) (multiplicity 2)  8 As 2.83, 4 Fe 3.00

Calculated values
Spin magnetization: 2.29 μB per formula unit



The data favor (a); the next most stable structure lies 37 meV per atom above it.